# AgHgW2O8, relaxed, DFT GGA+U
# **Total DFT energy (no corrections)**: -5.9322 eV/atom
data_AgHgW2O8
_space_group_name_H-M_alt 'I -4 m 2'
_space_group_IT_number 119
_space_group_name_Hall 'I -4 -2'
_cell_length_a 7.218
_cell_length_b 7.218
_cell_length_c 7.188
_cell_angle_alpha 90.00
_cell_angle_beta 90.00
_cell_angle_gamma 90.00
loop_
_atom_site_label
_atom_site_type_symbol
_atom_site_fract_x
_atom_site_fract_y
_atom_site_fract_z
Ag1 Ag 0.000 0.000 0.000
Hg1 Hg 0.000 0.500 0.250
W1 W 0.000 0.000 0.500
W2 W 0.000 0.500 0.750
O1 O 0.000 0.202 0.350
O2 O 0.000 0.298 0.902